[1]
Cd4NiAu3: optimized geometry, PBE-GGA.

Crystal system   monoclinic
Energy of formation   -2.14 kcal/mol of atoms

```
data_Cd4NiAu3
_space_group_name_H-M_alt 'C 1 2/m 1'
_space_group_IT_number 12
_cell_length_a 6.114
_cell_length_b 6.141
_cell_length_c 8.444
_cell_angle_alpha 90.00
_cell_angle_beta 110.97
_cell_angle_gamma 90.00
loop_
_space_group_symop_operation_xyz
'x,y,z'
'-x,-y,-z'
'-x,y,-z'
'x,-y,z'
'x+1/2,y+1/2,z'
'-x+1/2,-y+1/2,-z'
'-x+1/2,y+1/2,-z'
'x+1/2,-y+1/2,z'
loop_
_atom_site_label
_atom_site_fract_x
_atom_site_fract_y
_atom_site_fract_z
Cd1 0.131 0.250 0.261
Ni1 0.000 0.000 0.500
Au1 0.000 0.500 0.500
Au2 0.246 0.000 0.993
```

---

[2]
Cd5NiAu6: optimized geometry, PBE-GGA.

Crystal system   monoclinic
Energy of formation   -2.82 kcal/mol of atoms

```
data_Cd5NiAu6
_space_group_name_H-M_alt 'C 1 2/m 1'
_space_group_IT_number 12
_cell_length_a 14.766
_cell_length_b 6.785
_cell_length_c 4.676
_cell_angle_alpha 90.00
_cell_angle_beta 106.08
_cell_angle_gamma 90.00
loop_
_space_group_symop_operation_xyz
'x,y,z'
'-x,-y,-z'
'-x,y,-z'
'x,-y,z'
'x+1/2,y+1/2,z'
'-x+1/2,-y+1/2,-z'
'-x+1/2,y+1/2,-z'
'x+1/2,-y+1/2,z'
loop_
_atom_site_label
_atom_site_fract_x
_atom_site_fract_y
_atom_site_fract_z
Cd1 0.000 0.000 0.000
Cd2 0.164 0.000 0.673
Cd3 0.183 0.500 0.695
Ni1 0.000 0.500 0.000
Au1 0.000 0.283 0.500
Au2 0.152 0.268 0.167
```

---

[3]
Cd2NiAu: optimized geometry, PBE-GGA.

Energy relative to the lowest polymorph listed for this composition   9 meV per atom
Crystal system   orthorhombic
Energy of formation   -0.33 kcal/mol of atoms

```
data_Cd2NiAu
_space_group_name_H-M_alt 'I m m 2'
_space_group_IT_number 44
_cell_length_a 3.114
_cell_length_b 4.651
_cell_length_c 9.853
_cell_angle_alpha 90.00
_cell_angle_beta 90.00
_cell_angle_gamma 90.00
loop_
_space_group_symop_operation_xyz
'x,y,z'
'-x,-y,z'
'-x,y,z'
'x,-y,z'
'x+1/2,y+1/2,z+1/2'
'-x+1/2,-y+1/2,z+1/2'
'-x+1/2,y+1/2,z+1/2'
'x+1/2,-y+1/2,z+1/2'
loop_
_atom_site_label
_atom_site_fract_x
_atom_site_fract_y
_atom_site_fract_z
Cd1 0.000 0.000 0.000
Cd2 0.000 0.500 0.213
Ni1 0.000 0.500 0.722
Au1 0.000 0.000 0.437
```

---

[4]
CdNi2Au: optimized geometry, PBE-GGA.

Crystal system   tetragonal
Energy of formation   9.05 kcal/mol of atoms

```
data_CdNi2Au
_space_group_name_H-M_alt 'I -4 2 d'
_space_group_IT_number 122
_space_group_name_Hall 'I -4 2bw'
_cell_length_a 3.862
_cell_length_b 3.862
_cell_length_c 18.248
_cell_angle_alpha 90.00
_cell_angle_beta 90.00
_cell_angle_gamma 90.00
loop_
_atom_site_label
_atom_site_fract_x
_atom_site_fract_y
_atom_site_fract_z
Cd1 0.000 0.000 0.000
Ni1 0.198 0.250 0.625
Au1 0.000 0.000 0.500
```

---

[5]
CdNi2Au: optimized geometry, PBE-GGA.

Crystal system   monoclinic
Energy of formation   1.57 kcal/mol of atoms

```
data_CdNi2Au
_space_group_name_H-M_alt 'C 1 m 1'
_space_group_IT_number 8
_cell_length_a 9.497
_cell_length_b 2.907
_cell_length_c 4.550
_cell_angle_alpha 90.00
_cell_angle_beta 108.47
_cell_angle_gamma 90.00
loop_
_space_group_symop_operation_xyz
'x,y,z'
'x,-y,z'
'x+1/2,y+1/2,z'
'x+1/2,-y+1/2,z'
loop_
_atom_site_label
_atom_site_fract_x
_atom_site_fract_y
_atom_site_fract_z
Cd1 0.000 0.000 0.000
Ni1 0.256 0.500 0.207
Ni2 0.471 0.000 0.476
Au1 0.224 0.000 0.677
```

---

[6]
Cd2NiAu: optimized geometry, PBE-GGA.

Energy relative to the lowest polymorph listed for this composition   72 meV per atom
Crystal system   trigonal
Energy of formation   1.10 kcal/mol of atoms

```
data_Cd2NiAu
_space_group_name_H-M_alt 'R 3 m'
_space_group_IT_number 160
_space_group_name_Hall 'R 3 -2"'
_cell_length_a 2.9872
_cell_length_b 2.9872
_cell_length_c 27.4483
_cell_angle_alpha 90.00
_cell_angle_beta 90.00
_cell_angle_gamma 120.00
loop_
_atom_site_label
_atom_site_fract_x
_atom_site_fract_y
_atom_site_fract_z
Cd1 0.0000 0.0000 0.0000
Cd2 0.0000 0.0000 0.1817
Ni1 0.0000 0.0000 0.5908
Au1 0.0000 0.0000 0.7576
```

---

[7]
CdNi2Au: optimized geometry, PBE-GGA.

Crystal system   monoclinic
Energy of formation   2.09 kcal/mol of atoms

```
data_CdNi2Au
_space_group_name_H-M_alt 'P 1 m 1'
_space_group_IT_number 6
_cell_length_a 2.842
_cell_length_b 4.177
_cell_length_c 5.256
_cell_angle_alpha 90.00
_cell_angle_beta 105.54
_cell_angle_gamma 90.00
loop_
_space_group_symop_operation_xyz
'x,y,z'
'x,-y,z'
loop_
_atom_site_label
_atom_site_fract_x
_atom_site_fract_y
_atom_site_fract_z
Cd1 0.000 0.000 0.000
Ni1 0.608 0.500 0.213
Ni2 0.726 0.000 0.463
Au1 0.330 0.500 0.668
```

---

[8]
Cd2NiAu: optimized geometry, PBE-GGA.

Energy relative to the lowest polymorph listed for this composition   60 meV per atom
Crystal system   trigonal
Energy of formation   0.84 kcal/mol of atoms

```
data_Cd2NiAu
_space_group_name_H-M_alt 'R -3 m'
_space_group_IT_number 166
_space_group_name_Hall '-R 3 2"'
_cell_length_a 3.0081
_cell_length_b 3.0081
_cell_length_c 27.1598
_cell_angle_alpha 90.00
_cell_angle_beta 90.00
_cell_angle_gamma 120.00
loop_
_atom_site_label
_atom_site_fract_x
_atom_site_fract_y
_atom_site_fract_z
Cd1 0.0000 0.0000 0.2428
Ni1 0.0000 0.0000 0.5000
Au1 0.0000 0.0000 0.0000
```

---

[9]
CdNi2Au8: optimized geometry, PBE-GGA.

Crystal system   monoclinic
Energy of formation   0.11 kcal/mol of atoms

```
data_CdNi2Au8
_space_group_name_H-M_alt 'C 1 2/m 1'
_space_group_IT_number 12
_cell_length_a 14.515
_cell_length_b 4.135
_cell_length_c 6.557
_cell_angle_alpha 90.00
_cell_angle_beta 107.52
_cell_angle_gamma 90.00
loop_
_space_group_symop_operation_xyz
'x,y,z'
'-x,-y,-z'
'-x,y,-z'
'x,-y,z'
'x+1/2,y+1/2,z'
'-x+1/2,-y+1/2,-z'
'-x+1/2,y+1/2,-z'
'x+1/2,-y+1/2,z'
loop_
_atom_site_label
_atom_site_fract_x
_atom_site_fract_y
_atom_site_fract_z
Cd1 0.000 0.000 0.000
Ni1 0.228 0.500 0.636
Au1 0.049 0.500 0.725
Au2 0.104 0.000 0.467
Au3 0.147 0.500 0.210
Au4 0.184 0.000 0.922
```